#i
Below is a relaxed CrCd3Ni crystal, with properties calculated at the PBE-GGA level.

Cell and atoms, written as CIF:
```
data_CrCd3Ni
_space_group_name_H-M_alt 'P m -3 m'
_space_group_IT_number 221
_space_group_name_Hall '-P 4 2 3'
_cell_length_a 5.167
_cell_length_b 5.167
_cell_length_c 5.167
_cell_angle_alpha 90.00
_cell_angle_beta 90.00
_cell_angle_gamma 90.00
loop_
_atom_site_label
_atom_site_type_symbol
_atom_site_fract_x
_atom_site_fract_y
_atom_site_fract_z
_atom_site_occupancy
Cr1 Cr 0.000 0.000 0.000 1
Cd1 Cd 0.000 0.000 0.500 1
Ni1 Ni 0.500 0.500 0.500 1
```

## Properties
D(E_F) ... 5.5 states/eV/cell

#ii
Below is a relaxed CrCd3Ni crystal, with properties calculated at the PBE-GGA level.

Cell and atoms, written as CIF:
```
data_CrCd3Ni
_space_group_name_H-M_alt 'P m -3 m'
_space_group_IT_number 221
_space_group_name_Hall '-P 4 2 3'
_cell_length_a 4.899
_cell_length_b 4.899
_cell_length_c 4.899
_cell_angle_alpha 90.00
_cell_angle_beta 90.00
_cell_angle_gamma 90.00
loop_
_atom_site_label
_atom_site_type_symbol
_atom_site_fract_x
_atom_site_fract_y
_atom_site_fract_z
_atom_site_occupancy
Cr1 Cr 0.000 0.000 0.000 1
Cd1 Cd 0.000 0.500 0.500 1
Ni1 Ni 0.500 0.500 0.500 1
```

## Properties
D(E_F) ... 2.8 states/eV/cell

Result of the stability comparison: #i is the least stable of them.

#i
Below is a relaxed CrCdNi crystal, with properties calculated at the PBE-GGA level.

Cell and atoms, written as CIF:
```
data_CrCdNi
_space_group_name_H-M_alt 'P 3 m 1'
_space_group_IT_number 156
_space_group_name_Hall 'P 3 -2"'
_cell_length_a 4.3182
_cell_length_b 4.3182
_cell_length_c 2.8853
_cell_angle_alpha 90.00
_cell_angle_beta 90.00
_cell_angle_gamma 120.00
loop_
_atom_site_label
_atom_site_type_symbol
_atom_site_fract_x
_atom_site_fract_y
_atom_site_fract_z
_atom_site_occupancy
Cr1 Cr 0.0000 0.0000 0.0000 1
Cd1 Cd 0.3333 0.6667 0.5027 1
Ni1 Ni 0.6667 0.3333 0.0078 1
```

## Properties
D(E_F) ... 2.7 states/eV/cell

#ii
Below is a relaxed CrCdNi crystal, with properties calculated at the PBE-GGA level.

Cell and atoms, written as CIF:
```
data_CrCdNi
_space_group_name_H-M_alt 'I 4 m m'
_space_group_IT_number 107
_space_group_name_Hall 'I 4 -2'
_cell_length_a 2.731
_cell_length_b 2.731
_cell_length_c 11.410
_cell_angle_alpha 90.00
_cell_angle_beta 90.00
_cell_angle_gamma 90.00
loop_
_atom_site_label
_atom_site_type_symbol
_atom_site_fract_x
_atom_site_fract_y
_atom_site_fract_z
_atom_site_occupancy
Cr1 Cr 0.000 0.000 0.000 1
Cd1 Cd 0.000 0.000 0.310 1
Ni1 Ni 0.000 0.000 0.629 1
```

## Properties
D(E_F) ... 5.6 states/eV/cell

Result of the stability comparison: #i is the least stable of them.